Ge2HS, relaxed, DFT GGA-PBE; magnetization = 0.00 μB/f.u.; offset from the most stable computed form = 0 meV per atom; SG = No. 122; calculated volume = 18.15 Å³ per atom
1.0
5.1997 0.0000 0.0000
0.0000 5.1997 0.0000
2.5998 2.5998 5.3713
S Ge H
2 4 2
Direct
0.0000 0.0000 0.0000 S
0.7500 0.2500 0.5000 S
0.5401 0.1250 0.2500 Ge
0.2099 0.6250 0.2500 Ge
0.8750 0.7901 0.7500 Ge
0.3750 0.4599 0.7500 Ge
0.5000 0.5000 0.0000 H
0.2500 0.7500 0.5000 H

TlGeHS2, relaxed, DFT GGA-PBE; magnetization = 1.08 μB/f.u.; SG = No. 123; calculated volume = 29.97 Å³ per atom; total energy = -2.47 eV per atom
1.0
-2.1840 2.6652 3.9336
2.3101 -3.1874 3.4423
4.3513 3.3278 0.1612
Tl S Ge H
1 2 1 1
Direct
0.0000 0.0000 0.0000 Tl
0.5000 0.0000 0.0000 S
0.0000 0.5000 0.0000 S
0.0000 0.0000 0.5000 Ge
0.5000 0.5000 0.5000 H

TlGeH2S, relaxed, DFT GGA-PBE; magnetization = 0.00 μB/f.u.; SG = No. 123; calculated volume = 18.45 Å³ per atom; total energy = -3.20 eV per atom
1.0
3.8604 0.0000 0.0000
0.0000 6.1887 0.0000
0.0000 0.0000 3.8604
H S Ge Tl
2 1 1 1
Direct
0.0000 0.0000 0.5000 H
0.5000 0.0000 0.0000 H
0.0000 0.5000 0.0000 S
0.5000 0.5000 0.5000 Ge
0.0000 0.0000 0.0000 Tl

Y4GeHS2, relaxed, DFT GGA-PBE; magnetization = 0.00 μB/f.u.; SG = No. 42; calculated volume = 21.68 Å³ per atom; total energy = -6.55 eV per atom
1.0
5.5619 0.3191 0.0000
-0.2869 5.5637 0.0000
-2.6375 -2.9414 5.5888
Y H S Ge
4 1 2 1
Direct
0.9673 0.4346 0.0000 Y
0.4346 0.9673 0.0000 Y
0.6918 0.6918 0.5030 Y
0.1888 0.1888 0.4970 Y
0.3991 0.3991 0.0000 H
0.6910 0.1910 0.5000 S
0.1910 0.6910 0.5000 S
0.9338 0.9338 0.0000 Ge

Ge2Sb2H, relaxed, DFT GGA-PBE; magnetization = 0.00 μB/f.u.; offset from the most stable computed form = 120 meV per atom; SG = No. 139; calculated volume = 26.26 Å³ per atom
1.0
4.3475 0.0000 0.0000
0.0000 4.3475 0.0000
2.1737 2.1737 6.9466
Ge Sb H
2 2 1
Direct
0.7500 0.2500 0.5000 Ge
0.2500 0.7500 0.5000 Ge
0.6213 0.6213 0.7574 Sb
0.3787 0.3787 0.2426 Sb
0.0000 0.0000 0.0000 H

GeSbH2, relaxed, DFT GGA-PBE; magnetization = 0.00 μB/f.u.; offset from the most stable computed form = 0 meV per atom; SG = No. 122; calculated volume = 15.27 Å³ per atom
1.0
-0.2699 -2.1088 5.1727
5.5644 0.3535 0.4345
2.3045 2.7319 4.2572
Ge H Sb
2 4 2
Direct
0.2500 0.7500 0.5000 Ge
0.5000 0.5000 0.0000 Ge
0.8750 0.5990 0.7500 H
0.3750 0.6510 0.7500 H
0.4010 0.6250 0.2500 H
0.3490 0.1250 0.2500 H
0.7500 0.2500 0.5000 Sb
0.0000 0.0000 0.0000 Sb